# 1
# Pa3Ga4Ni4

Pa3Ga4Ni4 after structural relaxation (PBE, Alexandria via LeMat-Bulk).

```
Pa3Ga4Ni4
1.0
-2.026 3.475 6.592
2.026 -3.475 6.592
2.026 3.475 -6.592
Pa Ga Ni
3 4 4
Direct
0.000 0.000 0.000
0.393 0.893 0.500
0.607 0.107 0.500
0.016 0.324 0.692
0.368 0.676 0.692
0.632 0.324 0.308
0.984 0.676 0.308
0.223 0.223 0.000
0.295 0.500 0.795
0.705 0.500 0.205
0.777 0.777 0.000
```

Space-group type: No. 71
ΔH_f (0 K): -0.49 eV per atom

# 2
# PaGa2Ni

PaGa2Ni after structural relaxation (PBE, Alexandria via LeMat-Bulk).

```
PaGa2Ni
1.0
6.713 0.000 0.000
0.000 4.134 0.000
0.000 0.000 10.402
Pa Ga Ni
4 8 4
Direct
0.154 0.250 0.135
0.346 0.750 0.635
0.654 0.250 0.365
0.846 0.750 0.865
0.002 0.750 0.350
0.206 0.250 0.437
0.294 0.750 0.937
0.498 0.250 0.850
0.502 0.750 0.150
0.706 0.250 0.063
0.794 0.750 0.563
0.998 0.250 0.650
0.128 0.250 0.863
0.372 0.750 0.363
0.628 0.250 0.637
0.872 0.750 0.137
```

Space-group type: No. 62
ΔH_f (0 K): -0.44 eV per atom

# 3
# Pa2Ga5Ni3

Pa2Ga5Ni3 after structural relaxation (PBE, Alexandria via LeMat-Bulk).

```
Pa2Ga5Ni3
1.0
2.116 -11.921 0.000
2.116 11.921 0.000
0.000 0.000 6.581
Pa Ga Ni
4 10 6
Direct
0.019 0.981 0.500
0.329 0.671 0.462
0.671 0.329 0.962
0.981 0.019 0.000
0.102 0.898 0.153
0.205 0.795 0.652
0.211 0.789 0.255
0.375 0.625 0.987
0.448 0.552 0.320
0.552 0.448 0.820
0.625 0.375 0.487
0.789 0.211 0.755
0.795 0.205 0.152
0.898 0.102 0.653
0.106 0.894 0.754
0.272 0.728 0.950
0.450 0.550 0.715
0.550 0.450 0.215
0.728 0.272 0.450
0.894 0.106 0.254
```

Space-group type: No. 36
ΔH_f (0 K): -0.48 eV per atom

# 4
# Pa2Ga3Ni2

Pa2Ga3Ni2 after structural relaxation (PBE, Alexandria via LeMat-Bulk).

```
Pa2Ga3Ni2
1.0
4.808 -2.089 0.000
4.808 2.089 0.000
-2.337 0.000 6.133
Pa Ga Ni
2 3 2
Direct
0.149 0.149 0.286
0.851 0.851 0.714
0.386 0.386 0.065
0.500 0.500 0.500
0.614 0.614 0.935
0.150 0.150 0.730
0.850 0.850 0.270
```

Space-group type: No. 12
ΔH_f (0 K): -0.43 eV per atom

# 5
# PaGa3Ni2

PaGa3Ni2 after structural relaxation (PBE, Alexandria via LeMat-Bulk).

```
PaGa3Ni2
1.0
4.634 -3.930 0.000
4.634 3.930 0.000
0.000 0.000 5.294
Pa Ga Ni
2 6 4
Direct
0.119 0.881 0.750
0.881 0.119 0.250
0.058 0.603 0.250
0.397 0.942 0.250
0.497 0.503 0.250
0.503 0.497 0.750
0.603 0.058 0.750
0.942 0.397 0.750
0.274 0.274 0.000
0.274 0.274 0.500
0.726 0.726 0.000
0.726 0.726 0.500
```

Space-group type: No. 63
ΔH_f (0 K): -0.38 eV per atom

# 6
# Pa2GaNi

Pa2GaNi after structural relaxation (PBE, Alexandria via LeMat-Bulk).

```
Pa2GaNi
1.0
4.294 0.000 0.000
0.000 4.294 0.000
0.000 0.000 4.235
Pa Ga Ni
2 1 1
Direct
0.000 0.500 0.000
0.500 0.000 0.000
0.000 0.000 0.500
0.500 0.500 0.500
```

Space-group type: No. 123
ΔH_f (0 K): -0.23 eV per atom

# 7
# PaGa12Ni6

PaGa12Ni6 after structural relaxation (PBE, Alexandria via LeMat-Bulk).

```
PaGa12Ni6
1.0
5.474 3.160 2.806
-5.474 3.160 2.806
0.000 -6.320 2.806
Pa Ga Ni
1 12 6
Direct
0.000 0.000 0.000
0.115 0.500 0.885
0.115 0.885 0.500
0.150 0.404 0.404
0.404 0.150 0.404
0.404 0.404 0.150
0.500 0.115 0.885
0.500 0.885 0.115
0.596 0.596 0.850
0.596 0.850 0.596
0.850 0.596 0.596
0.885 0.115 0.500
0.885 0.500 0.115
0.283 0.283 0.709
0.283 0.709 0.283
0.291 0.717 0.717
0.709 0.283 0.283
0.717 0.291 0.717
0.717 0.717 0.291
```

Space-group type: No. 166
ΔH_f (0 K): -0.27 eV per atom

# 8
# Pa4Ga12Ni

Pa4Ga12Ni after structural relaxation (PBE, Alexandria via LeMat-Bulk).

```
Pa4Ga12Ni
1.0
-4.315 4.315 4.315
4.315 -4.315 4.315
4.315 4.315 -4.315
Pa Ga Ni
4 12 1
Direct
0.000 0.000 0.500
0.000 0.500 0.000
0.500 0.000 0.000
0.500 0.500 0.500
0.000 0.288 0.288
0.000 0.712 0.712
0.250 0.500 0.750
0.250 0.750 0.500
0.288 0.000 0.288
0.288 0.288 0.000
0.500 0.250 0.750
0.500 0.750 0.250
0.712 0.000 0.712
0.712 0.712 0.000
0.750 0.250 0.500
0.750 0.500 0.250
0.000 0.000 0.000
```

Space-group type: No. 229
ΔH_f (0 K): -0.40 eV per atom

# 9
# Pa2GaNi5

Pa2GaNi5 after structural relaxation (PBE, Alexandria via LeMat-Bulk).

```
Pa2GaNi5
1.0
-2.954 2.954 3.593
2.954 -2.954 3.593
2.954 2.954 -3.593
Pa Ga Ni
2 1 5
Direct
0.000 0.500 0.500
0.500 0.000 0.500
0.159 0.159 0.000
0.496 0.496 0.000
0.550 0.550 0.584
0.550 0.967 0.000
0.967 0.550 0.000
0.967 0.967 0.416
```

Space-group type: No. 107
ΔH_f (0 K): -0.28 eV per atom

# 10
# PaGa2Ni

PaGa2Ni after structural relaxation (PBE, Alexandria via LeMat-Bulk).

```
PaGa2Ni
1.0
2.053 1.185 4.971
-2.053 1.185 4.971
0.000 -2.371 4.971
Pa Ga Ni
1 2 1
Direct
0.000 0.000 0.000
0.214 0.214 0.214
0.786 0.786 0.786
0.500 0.500 0.500
```

Space-group type: No. 166
ΔH_f (0 K): -0.36 eV per atom

# 11
# PaGaNi2

PaGaNi2 after structural relaxation (PBE, Alexandria via LeMat-Bulk).

```
PaGaNi2
1.0
3.035 0.000 0.000
0.000 3.035 0.000
0.000 0.000 6.626
Pa Ga Ni
1 1 2
Direct
0.000 0.000 0.000
0.000 0.000 0.500
0.500 0.500 0.295
0.500 0.500 0.705
```

Space-group type: No. 123
ΔH_f (0 K): -0.35 eV per atom

# 12
# PaGa6Ni12

PaGa6Ni12 after structural relaxation (PBE, Alexandria via LeMat-Bulk).

```
PaGa6Ni12
1.0
5.322 3.073 2.640
-5.322 3.073 2.640
0.000 -6.145 2.640
Pa Ga Ni
1 6 12
Direct
0.000 0.000 0.000
0.282 0.282 0.696
0.282 0.696 0.282
0.304 0.718 0.718
0.696 0.282 0.282
0.718 0.304 0.718
0.718 0.718 0.304
0.112 0.357 0.357
0.116 0.500 0.884
0.116 0.884 0.500
0.357 0.112 0.357
0.357 0.357 0.112
0.500 0.116 0.884
0.500 0.884 0.116
0.643 0.643 0.888
0.643 0.888 0.643
0.884 0.116 0.500
0.884 0.500 0.116
0.888 0.643 0.643
```

Space-group type: No. 166
ΔH_f (0 K): -0.22 eV per atom

# 13
# Pa2Ga3Ni2

Pa2Ga3Ni2 after structural relaxation (PBE, Alexandria via LeMat-Bulk).

```
Pa2Ga3Ni2
1.0
2.036 -9.431 0.000
2.036 9.431 0.000
0.000 0.000 3.401
Pa Ga Ni
2 3 2
Direct
0.165 0.835 0.000
0.835 0.165 0.000
0.000 0.000 0.000
0.428 0.572 0.500
0.572 0.428 0.500
0.291 0.709 0.500
0.709 0.291 0.500
```

Space-group type: No. 65
ΔH_f (0 K): -0.32 eV per atom

# 14
# Pa2Ga4Ni5

Pa2Ga4Ni5 after structural relaxation (PBE, Alexandria via LeMat-Bulk).

```
Pa2Ga4Ni5
1.0
0.000 4.501 7.272
2.687 0.000 7.272
2.687 4.501 0.000
Pa Ga Ni
2 4 5
Direct
0.147 0.147 0.853
0.853 0.853 0.147
0.217 0.525 0.475
0.475 0.783 0.217
0.525 0.217 0.783
0.783 0.475 0.525
0.000 0.000 0.500
0.250 0.250 0.250
0.500 0.500 0.000
0.500 0.500 0.500
0.750 0.750 0.750
```

Space-group type: No. 69
ΔH_f (0 K): -0.33 eV per atom

# 15
# PaGa3Ni4

PaGa3Ni4 after structural relaxation (PBE, Alexandria via LeMat-Bulk).

```
PaGa3Ni4
1.0
2.037 1.176 8.092
-2.037 1.176 8.092
0.000 -2.352 8.092
Pa Ga Ni
1 3 4
Direct
0.000 0.000 0.000
0.243 0.243 0.243
0.500 0.500 0.500
0.757 0.757 0.757
0.132 0.132 0.132
0.399 0.399 0.399
0.601 0.601 0.601
0.868 0.868 0.868
```

Space-group type: No. 166
ΔH_f (0 K): -0.41 eV per atom

# 16
# Pa4Ga8Ni

Pa4Ga8Ni after structural relaxation (PBE, Alexandria via LeMat-Bulk).

```
Pa4Ga8Ni
1.0
4.134 0.000 0.000
0.000 4.293 0.000
0.000 0.000 14.460
Pa Ga Ni
4 8 1
Direct
0.000 0.000 0.000
0.000 0.500 0.450
0.500 0.000 0.778
0.500 0.500 0.316
0.000 0.000 0.286
0.000 0.000 0.606
0.000 0.500 0.148
0.000 0.500 0.845
0.500 0.000 0.158
0.500 0.000 0.473
0.500 0.500 0.607
0.500 0.500 0.952
0.000 0.500 0.684
```

Space-group type: No. 25
ΔH_f (0 K): -0.27 eV per atom

# 17
# PaGa3Ni

PaGa3Ni after structural relaxation (PBE, Alexandria via LeMat-Bulk).

```
PaGa3Ni
1.0
-2.100 2.100 4.976
2.100 -2.100 4.976
2.100 2.100 -4.976
Pa Ga Ni
1 3 1
Direct
0.000 0.000 0.000
0.247 0.747 0.500
0.586 0.586 0.000
0.747 0.247 0.500
0.357 0.357 0.000
```

Space-group type: No. 107
ΔH_f (0 K): -0.43 eV per atom

# 18
# Pa2Ga3Ni4

Pa2Ga3Ni4 after structural relaxation (PBE, Alexandria via LeMat-Bulk).

```
Pa2Ga3Ni4
1.0
2.755 -7.653 0.000
2.755 7.653 0.000
0.000 0.000 6.739
Pa Ga Ni
4 6 8
Direct
0.104 0.896 0.910
0.396 0.604 0.410
0.604 0.396 0.590
0.896 0.104 0.090
0.000 0.000 0.500
0.017 0.483 0.750
0.483 0.017 0.250
0.500 0.500 0.000
0.517 0.983 0.750
0.983 0.517 0.250
0.165 0.835 0.526
0.179 0.321 0.750
0.321 0.179 0.250
0.335 0.665 0.026
0.665 0.335 0.974
0.679 0.821 0.750
0.821 0.679 0.250
0.835 0.165 0.474
```

Space-group type: No. 64
ΔH_f (0 K): -0.46 eV per atom

# 19
# Pa3Ga3Ni2

Pa3Ga3Ni2 after structural relaxation (PBE, Alexandria via LeMat-Bulk).

```
Pa3Ga3Ni2
1.0
7.813 0.000 0.000
0.000 14.383 0.000
0.000 0.000 5.429
Pa Ga Ni
12 12 8
Direct
0.039 0.115 0.105
0.039 0.385 0.105
0.175 0.250 0.628
0.325 0.750 0.128
0.461 0.615 0.605
0.461 0.885 0.605
0.539 0.115 0.395
0.539 0.385 0.395
0.675 0.250 0.872
0.825 0.750 0.372
0.961 0.615 0.895
0.961 0.885 0.895
0.171 0.750 0.626
0.185 0.035 0.603
0.185 0.465 0.603
0.315 0.535 0.103
0.315 0.965 0.103
0.329 0.250 0.126
0.671 0.750 0.874
0.685 0.035 0.897
0.685 0.465 0.897
0.815 0.535 0.397
0.815 0.965 0.397
0.829 0.250 0.374
0.100 0.610 0.374
0.100 0.890 0.374
0.400 0.110 0.874
0.400 0.390 0.874
0.600 0.610 0.126
0.600 0.890 0.126
0.900 0.110 0.626
0.900 0.390 0.626
```

Space-group type: No. 62
ΔH_f (0 K): -0.38 eV per atom

# 20
# PaGaNi

PaGaNi after structural relaxation (PBE, Alexandria via LeMat-Bulk).

```
PaGaNi
1.0
1.699 -7.823 0.000
1.699 7.823 0.000
0.000 0.000 4.233
Pa Ga Ni
2 2 2
Direct
0.099 0.901 0.750
0.901 0.099 0.250
0.291 0.709 0.750
0.709 0.291 0.250
0.453 0.547 0.750
0.547 0.453 0.250
```

Space-group type: No. 63
ΔH_f (0 K): -0.33 eV per atom